# DyHo2Lu | Alexandria | PBE-GGA | relaxed
# Theoretical density: 9.11 g/cm3
# ΔE to the lowest computed polymorph: 0.0008 eV/atom
# ΔE_f: 0.03 eV/atom
# Crystal system: trigonal
# DOS at the Fermi energy: 1.50 states/eV per atom
data_DyHo2Lu
_space_group_name_H-M_alt 'R -3 m'
_space_group_IT_number 166
_space_group_name_Hall '-R 3 2"'
_cell_length_a 3.5073
_cell_length_b 3.5073
_cell_length_c 34.2381
_cell_angle_alpha 90.00
_cell_angle_beta 90.00
_cell_angle_gamma 120.00
loop_
_atom_site_label
_atom_site_type_symbol
_atom_site_fract_x
_atom_site_fract_y
_atom_site_fract_z
_atom_site_occupancy
Dy1 Dy 0.0000 0.0000 0.0000 1
Ho1 Ho 0.0000 0.0000 0.2492 1
Lu1 Lu 0.0000 0.0000 0.5000 1